KNiOs | PBE | optimized geometry

```
3
Lattice="2.7768 0.0000 0.0000 -1.3884 2.4048 0.0000 0.0000 0.0000 7.7685" Properties=species:S:1:pos:R:3 pbc="T T T"
K 0.0000 0.0000 0.0000
Ni 1.3884 0.8016 2.8652
Os 0.0000 1.6032 4.8099
```

**E above lowest polymorph**: 298.6 meV per atom
**E_tot**: -5.058 eV per atom
**Fermi-level density of states**: 4.6 states/eV/cell
**ΔE_f**: 2.9 eV/f.u.

LaAl2Hg | PBE | optimized geometry

```
4
Lattice="3.8784 -2.2427 0.0000 3.8784 2.2427 0.0000 -2.5891 0.0000 5.5565" Properties=species:S:1:pos:R:3 pbc="T T T"
La 0.0000 0.0000 0.0000
Al -0.0023 0.0000 3.6136
Al 5.1699 0.0000 1.9428
Hg 2.5838 0.0000 2.7782
```

**E_tot**: -3.479 eV per atom
**Fermi-level density of states**: 1.9 states/eV/cell
**ΔE_f**: -1.2 eV/f.u.

CsNaLi3 | PBE | optimized geometry

```
5
Lattice="6.0376 0.0000 0.0000 0.0000 6.0376 0.0000 0.0000 0.0000 6.0376" Properties=species:S:1:pos:R:3 pbc="T T T"
Cs 0.0000 0.0000 0.0000
Na 3.0188 3.0188 3.0188
Li 0.0000 3.0188 3.0188
Li 3.0188 0.0000 3.0188
Li 3.0188 3.0188 0.0000
```

**E above lowest polymorph**: 0.0 meV per atom
**E_tot**: -1.300 eV per atom
**Fermi-level density of states**: 2.8 states/eV/cell
**ΔE_f**: 1.4 eV/f.u.

What is the Fermi-level density of states in the third record?
2.8 states/eV/cell

Look up the Fermi-level density of states of the third one.
2.8 states/eV/cell

Among the records above, which one has the highest Fermi-level density of states?
KNiOs